Record 1
Compound: NpFe2H8
Source: the Alexandria database
Functional: PBE-GGA
Structure: optimized geometry

Cell: 4.9204 7.9294 3.5974 Å, 90.00 92.20 90.00°
Space group C2/m (No. 12)
Unique sites:
Np 0.0000 0.0000 0.0000 [2 per cell]
Fe 0.0000 0.3251 0.5000 [4 per cell]
H 0.0000 0.3033 0.0000 [4 per cell]
H 0.0467 0.5000 0.7426 [4 per cell]
H 0.1757 0.1439 0.5151 [8 per cell]

Computed properties:
The raw total energy comes out at -5.171 eV/atom.

---

Record 2
Compound: Hf3Co2Ir
Source: the Alexandria database
Functional: PBE-GGA
Structure: optimized geometry

Cell: 4.5088 13.4766 3.2570 Å, 90.00 90.00 90.00°
Space group Cmmm (No. 65)
Unique sites:
Hf 0.0000 0.0000 0.0000 [2 per cell]
Hf 0.0000 0.3293 0.0000 [4 per cell]
Co 0.0000 0.1657 0.5000 [4 per cell]
Ir 0.0000 0.5000 0.5000 [2 per cell]

Computed properties:
For the formation enthalpy at 0 K, the calculation gives -3.45 eV/f.u. For the offset from the most stable computed form, the calculation gives 0.0 meV per atom.

---

Record 3
Compound: LiNpSn2O8
Source: the Alexandria database
Functional: PBE-GGA
Structure: optimized geometry

Cell: 7.0570 7.1188 6.2727 Å, 90.00 90.00 90.00°
Space group Cmmm (No. 65)
Unique sites:
Li 0.0000 0.0000 0.0000 [2 per cell]
Np 0.0000 0.0000 0.5000 [2 per cell]
Sn 0.0000 0.5000 0.2407 [4 per cell]
O 0.0000 0.3076 0.0000 [4 per cell]
O 0.0000 0.3136 0.5000 [4 per cell]
O 0.1891 0.0000 0.2744 [8 per cell]

Computed properties:
The uncorrected formation energy is -1.958 eV per atom.

---

| no. | volume (Å³/f.u.) |
| --- | --- |
| 1 | 70.13 |
| 2 | 98.95 |
| 3 | 157.56 |